## Rb2NaLi2 (PBE)

Data for Rb2NaLi2 after structural relaxation.

Calculated values
As for the space group: P4/mbm, No. 127.

The structure in extended XYZ format:
```
10
Lattice="-6.145 -5.307 3.390 -1.701 -3.162 -8.033 4.368 -4.514 0.852" Properties=species:S:1:pos:R:3 pbc="T T T"
Rb -0.088 -5.373 -4.432
Rb -3.395 -8.461 -3.842
Rb -0.083 -4.522 0.050
Li -6.450 -6.625 -2.029
Na 0.000 0.000 0.000
Li -4.036 -3.693 1.125
Rb -3.389 -7.610 0.641
Na -3.923 -4.234 -2.322
Li -1.396 -1.844 -2.614
Li -3.810 -4.775 -5.768
```


## RbNa6Li (PBE)

Data for RbNa6Li after structural relaxation.

Calculated values
As for the space group: P4/mmm, No. 123.

The structure in extended XYZ format:
```
8
Lattice="-4.209 2.173 -2.765 -2.344 -4.948 -0.320 -5.571 1.990 10.044" Properties=species:S:1:pos:R:3 pbc="T T T"
Na -5.755 2.390 5.198
Na -4.026 1.773 2.081
Na -4.097 -1.095 -0.063
Rb 0.000 0.000 0.000
Na -3.093 -1.788 3.303
Li -2.786 0.995 5.022
Na -4.822 -1.170 6.420
Na -8.027 0.309 7.022
```


## RbNa2Li (PBE)

Data for RbNa2Li after structural relaxation.

Calculated values
As for the space group: R3m, No. 160.

The structure in extended XYZ format:
```
4
Lattice="5.788 0.000 0.000 2.894 5.012 0.000 2.894 1.671 6.633" Properties=species:S:1:pos:R:3 pbc="T T T"
Na 2.894 1.671 0.775
Na 2.894 1.671 6.360
Li 8.681 5.012 6.065
Rb 5.788 3.341 3.382
```


## RbNaLi2 (PBE)

Data for RbNaLi2 after structural relaxation.

Calculated values
As for the space group: I-42d, No. 122.

The structure in extended XYZ format:
```
8
Lattice="5.756 0.000 0.000 0.000 5.756 0.000 2.878 2.878 11.505" Properties=species:S:1:pos:R:3 pbc="T T T"
Na 2.878 2.878 0.000
Rb 5.756 2.878 5.753
Li 7.195 6.084 8.629
Li 4.317 5.427 8.629
Li 3.207 1.439 2.876
Li 2.549 4.317 2.876
Rb 0.000 0.000 0.000
Na 2.878 5.756 5.753
```


| no. | E_form (kJ per mole of atoms) | DOS at the Fermi energy (states/eV/atom) |
| --- | --- | --- |
| 1 | 14.4 | 0.558 |
| 2 | 9.5 | 0.396 |
| 3 | 10.1 | 0.628 |
| 4 | 23.7 | 0.908 |